# BeRu4Br

A relaxed structure of BeRu4Br (PBE-GGA, the Alexandria database).

Output
Raw total energy: -5.94 eV per atom
Space-group type: F-43m (216)

Cell lengths 5.1601, 5.1601, 5.1601 Å; angles 60.00, 60.00, 60.00 degrees
With the nearest neighbours (Å) after each atom.
Fractional coordinates of all 6 atoms:
Ru: 0.8758 0.3747 0.3747  6 Ru 2.57-2.59
Ru: 0.3747 0.3747 0.3747  6 Ru 2.57-2.59
Ru: 0.3747 0.8758 0.3747  6 Ru 2.57-2.59
Br: 0.0000 0.0000 0.0000  12 Ru 3.02, 4 Be 3.16
Be: 0.7500 0.7500 0.7500  12 Ru 3.03, 4 Br 3.16
Ru: 0.3747 0.3747 0.8758  6 Ru 2.57-2.59